The following is a DFT calculation (PBE) of an optimized crystal structure of NiGeIr.

abc: 7.1316 4.0923 6.7804
angles: 90.00 118.49 90.00
Space group C2/m (No. 12)
Unique sites:
Ni 0.1831 0.0000 0.3849
Ge 0.0395 0.5000 0.7303
Ir 0.2397 0.5000 0.1524

Values from the calculation:
N(E_F) (states/eV/cell): 7.387
Total energy (eV per cell): -78.621
Energy relative to the elements (eV/atom): -0.132